La3InTc | SCAN | PBEsol geometry

Unit cell a=5.3533 b=5.3533 c=5.3533 alpha=90.00 beta=90.00 gamma=90.00
Fractional positions:
La: 0.0000 0.0000 0.5000
La: 0.0000 0.5000 0.0000
La: 0.5000 0.0000 0.0000
In: 0.5000 0.5000 0.5000
Tc: 0.0000 0.0000 0.0000

SG = Pm-3m (221)
ΔE_f = -0.26 eV per atom
calculated total energy = -199.0 eV/cell